# 1
An optimized crystal structure of HgSe, computed with PBE-GGA.

Computed properties:
formation energy from raw total energies	-0.18	eV per atom

Cell lengths 4.4683, 4.4683, 9.9417 Å; angles 90.00, 90.00, 120.00 degrees
With the nearest neighbours (Å) after each atom.
Positions (direct):
Hg (0.2890, 0.0000, 0.0000)  2 Se 2.55
Hg (0.0000, 0.2890, 0.3333)  2 Se 2.55
Se (0.5022, 0.0000, 0.5000)  2 Hg 2.55
Se (0.0000, 0.5022, 0.8333)  2 Hg 2.55
Se (0.4978, 0.4978, 0.1667)  2 Hg 2.55
Hg (0.7110, 0.7110, 0.6667)  2 Se 2.55


# 2
An optimized crystal structure of Rb, computed with PBE-GGA.

Computed properties:
energy of formation from the pure elements	192.6	meV/atom

Cell lengths 11.1883, 11.1883, 4.5483 Å; angles 90.00, 90.00, 90.00 degrees
With the nearest neighbours (Å) after each atom.
Positions (direct):
Rb (0.5000, 0.7929, 0.0000)  5 Rb 4.55-4.64
Rb (0.7929, 0.5000, 0.0000)  5 Rb 4.55-4.64
Rb (0.2071, 0.5000, 0.0000)  5 Rb 4.55-4.64
Rb (0.5000, 0.2071, 0.0000)  5 Rb 4.55-4.64


# 3
An optimized crystal structure of TlBiRuN, computed with PBE-GGA.

Computed properties:
formation energy from raw total energies	0.30	eV per atom

Cell lengths 4.1062, 3.2724, 7.5036 Å; angles 90.00, 105.36, 90.00 degrees
With the nearest neighbours (Å) after each atom.
Positions (direct):
Ru (0.5833, 0.5000, 0.6641)  2 N 1.84
N (0.6729, 0.0000, 0.7803)  2 Ru 1.84
Bi (0.9597, 0.5000, 0.4120)  2 Ru 2.74-2.75
Tl (0.2825, 0.0000, 0.0349)  2 N 2.72-2.80


# 4
An optimized crystal structure of MnBe2In, computed with PBE-GGA.

Computed properties:
energy of formation from the pure elements	574.3	meV/atom

Cell lengths 8.1657, 8.1657, 8.1657 Å; angles 20.24, 20.24, 20.24 degrees
With the nearest neighbours (Å) after each atom.
Positions (direct):
Mn (0.7500, 0.7500, 0.7500)  6 Be 2.41
Be (0.4897, 0.4897, 0.4897)  3 Mn 2.41
Be (0.0103, 0.0103, 0.0103)  3 Mn 2.41
In (0.2500, 0.2500, 0.2500)  6 Be 2.79, 6 In 2.87


# 5
An optimized crystal structure of Ru2PbSe, computed with PBE-GGA.

Computed properties:
formation energy from raw total energies	0.81	eV per atom

Cell lengths 4.6987, 4.6987, 4.6987 Å; angles 60.00, 60.00, 60.00 degrees
With the nearest neighbours (Å) after each atom.
Positions (direct):
Ru (0.7500, 0.7500, 0.7500)  4 Pb 2.88, 4 Ru 2.88
Pb (0.5000, 0.5000, 0.5000)  4 Ru 2.88, 4 Se 2.88
Ru (0.0000, 0.0000, 0.0000)  4 Se 2.88, 4 Ru 2.88
Se (0.2500, 0.2500, 0.2500)  4 Pb 2.88, 4 Ru 2.88


# 6
An optimized crystal structure of Mn3Co2, computed with PBE-GGA.

Computed properties:
energy of formation from the pure elements	92.5	meV/atom

Cell lengths 10.1425, 10.1425, 10.1425 Å; angles 13.96, 13.96, 13.96 degrees
With the nearest neighbours (Å) after each atom.
Positions (direct):
Co (0.3991, 0.3991, 0.3991)  6 Mn 2.44-2.50, 6 Co 2.46
Mn (0.8007, 0.8007, 0.8007)  9 Mn 2.43-2.46, 3 Co 2.50
Mn (0.0000, 0.0000, 0.0000)  6 Co 2.44, 6 Mn 2.46
Mn (0.1993, 0.1993, 0.1993)  9 Mn 2.43-2.46, 3 Co 2.50
Co (0.6009, 0.6009, 0.6009)  6 Mn 2.44-2.50, 6 Co 2.46


# 7
An optimized crystal structure of Lu4Si2N, computed with PBE-GGA.

Computed properties:
formation energy from raw total energies	-0.93	eV per atom

Cell lengths 4.4393, 4.4393, 8.0571 Å; angles 105.99, 105.99, 90.00 degrees
With the nearest neighbours (Å) after each atom.
Positions (direct):
Lu (0.8305, 0.8305, 0.6611)  1 N 2.51
N (0.0000, 0.0000, 0.0000)  4 Lu 2.22
Lu (0.0000, 0.5000, 0.0000)  2 N 2.22
Si (0.6375, 0.6375, 0.2750)  9 Lu 2.87-3.17
Lu (0.5000, 0.0000, 0.0000)  2 N 2.22
Lu (0.1695, 0.1695, 0.3389)  1 N 2.51
Si (0.3625, 0.3625, 0.7250)  9 Lu 2.87-3.17


# 8
An optimized crystal structure of Ca3AlGe2, computed with PBE-GGA.

Computed properties:
energy of formation from the pure elements	-534.7	meV/atom

Cell lengths 4.3184, 12.2751, 11.8796 Å; angles 90.00, 90.00, 90.00 degrees
With the nearest neighbours (Å) after each atom.
Positions (direct):
Ca (0.7500, 0.9417, 0.1284)  5 Ge 3.15-3.23, 3 Al 3.26-3.32
Ca (0.2500, 0.0583, 0.8716)  5 Ge 3.15-3.23, 3 Al 3.26-3.32
Ca (0.7500, 0.5583, 0.6284)  5 Ge 3.15-3.23, 3 Al 3.26-3.32
Al (0.2500, 0.1400, 0.1376)  3 Ge 2.55-2.57
Ca (0.7500, 0.6140, 0.9334)  5 Ge 3.05-3.34, 1 Al 3.13
Ge (0.7500, 0.3184, 0.5288)  2 Al 2.57
Ge (0.7500, 0.5121, 0.1931)  1 Al 2.55
Ca (0.2500, 0.4417, 0.3716)  5 Ge 3.15-3.23, 3 Al 3.26-3.32
Ca (0.2500, 0.6958, 0.1931)  2 Al 3.03, 4 Ge 3.03-3.31
Ge (0.2500, 0.8184, 0.9712)  2 Al 2.57
Ca (0.7500, 0.1958, 0.3069)  2 Al 3.03, 4 Ge 3.03-3.31
Ge (0.2500, 0.4879, 0.8069)  1 Al 2.55
Ca (0.7500, 0.3042, 0.8069)  2 Al 3.03, 4 Ge 3.03-3.31
Ge (0.2500, 0.0121, 0.3069)  1 Al 2.55
Ge (0.2500, 0.6816, 0.4712)  2 Al 2.57
Ca (0.2500, 0.3860, 0.0666)  5 Ge 3.05-3.34, 1 Al 3.13
Ca (0.2500, 0.8042, 0.6931)  2 Al 3.03, 4 Ge 3.03-3.31
Ca (0.2500, 0.1140, 0.5666)  5 Ge 3.05-3.34, 1 Al 3.13
Ge (0.7500, 0.1816, 0.0288)  2 Al 2.57
Ca (0.7500, 0.8860, 0.4334)  5 Ge 3.05-3.34, 1 Al 3.13
Ge (0.7500, 0.9879, 0.6931)  1 Al 2.55
Al (0.7500, 0.6400, 0.3624)  3 Ge 2.55-2.57
Al (0.7500, 0.8600, 0.8624)  3 Ge 2.55-2.57
Al (0.2500, 0.3600, 0.6376)  3 Ge 2.55-2.57


# 9
An optimized crystal structure of RbAc2Eu, computed with PBE-GGA.

Computed properties:
energy of formation from the pure elements	197.5	meV/atom

Cell lengths 3.9801, 3.9801, 14.6463 Å; angles 82.19, 82.19, 60.00 degrees
With the nearest neighbours (Å) after each atom.
Positions (direct):
Ac (0.9062, 0.9062, 0.2813)  3 Eu 3.91, 6 Ac 3.98, 1 Rb 4.07
Eu (0.5000, 0.5000, 0.5000)  6 Ac 3.91, 6 Eu 3.98
Ac (0.0938, 0.0938, 0.7187)  3 Eu 3.91, 6 Ac 3.98, 1 Rb 4.07
Rb (0.0000, 0.0000, 0.0000)  6 Rb 3.98, 2 Ac 4.07


# 10
An optimized crystal structure of CsMg6Mo, computed with PBE-GGA.

Computed properties:
energy of formation from the pure elements	506.4	meV/atom

Cell lengths 6.5175, 6.5175, 5.1974 Å; angles 90.00, 90.00, 120.06 degrees
With the nearest neighbours (Å) after each atom.
Positions (direct):
Mg (0.4069, 0.5931, 0.0000)  6 Mg 3.06-3.24, 2 Mo 3.26, 2 Cs 3.27
Mg (0.9367, 0.5930, 0.0000)  6 Mg 3.06-3.24, 2 Mo 3.26, 2 Cs 3.28
Mg (0.4070, 0.0633, 0.0000)  6 Mg 3.06-3.24, 2 Mo 3.26, 2 Cs 3.28
Cs (0.5833, 0.4167, 0.5000)  12 Mg 3.26-3.28
Mo (0.9166, 0.0834, 0.0000)  12 Mg 3.10-3.26
Mg (0.0664, 0.3829, 0.5000)  6 Mg 2.93-3.24, 2 Mo 3.10, 2 Cs 3.26
Mg (0.0661, 0.9339, 0.5000)  6 Mg 2.93-3.24, 2 Mo 3.10, 2 Cs 3.26
Mg (0.6171, 0.9336, 0.5000)  6 Mg 2.93-3.24, 2 Mo 3.10, 2 Cs 3.26


# 11
An optimized crystal structure of V6Mo2W, computed with PBE-GGA.

Computed properties:
energy of formation from the pure elements	-57.8	meV/atom

Cell lengths 3.0669, 2.6958, 19.1194 Å; angles 87.11, 95.09, 125.00 degrees
With the nearest neighbours (Å) after each atom.
Positions (direct):
V (0.8164, 0.5195, 0.1147)  6 V 2.53-2.70, 2 W 2.66-2.68
V (0.0367, 0.5179, 0.5531)  6 V 2.53-2.70, 2 Mo 2.63-2.65
V (0.7026, 0.5187, 0.8853)  6 V 2.53-2.70, 2 W 2.66-2.68
Mo (0.5930, 0.5185, 0.6661)  4 V 2.63-2.65, 4 Mo 2.68-2.70
V (0.1491, 0.5191, 0.7791)  6 V 2.53-2.70, 2 Mo 2.63-2.65
W (0.2596, 0.5194, 0.0000)  4 V 2.66-2.68, 4 W 2.68-2.70
Mo (0.9251, 0.5176, 0.3339)  4 V 2.63-2.65, 4 Mo 2.68-2.70
V (0.4817, 0.5181, 0.4469)  6 V 2.53-2.70, 2 Mo 2.63-2.65
V (0.3692, 0.5178, 0.2209)  6 V 2.53-2.70, 2 Mo 2.63-2.65


# 12
An optimized crystal structure of Nb2RhW, computed with PBE-GGA.

Computed properties:
energy of formation from the pure elements	109.4	meV/atom

Cell lengths 3.0776, 3.0776, 8.6024 Å; angles 79.70, 79.70, 60.00 degrees
With the nearest neighbours (Å) after each atom.
Positions (direct):
Rh (0.5000, 0.5000, 0.5000)  6 Nb 2.75, 6 Rh 3.08
Nb (0.7500, 0.7500, 0.7501)  3 W 2.75, 3 Rh 2.75, 6 Nb 3.08
W (0.0000, 0.0000, 0.0000)  6 Nb 2.75, 6 W 3.08
Nb (0.2500, 0.2500, 0.2499)  3 W 2.75, 3 Rh 2.75, 6 Nb 3.08


| no. | mass density (g cm⁻³) | uncorrected energy (eV per atom) | DOS at the Fermi energy (states/eV per cell) |
| --- | --- | --- | --- |
| 1 | 8.1 | -2.0687 | 0.00 |
| 2 | 1.0 | -0.7750 | 3.03 |
| 3 | 9.0 | -5.6585 | 0.90 |
| 4 | 5.5 | -4.2658 | 2.05 |
| 5 | 11.1 | -5.6274 | 4.97 |
| 6 | 8.9 | -8.2516 | 6.81 |
| 7 | 8.7 | -6.2488 | 4.54 |
| 8 | 3.1 | -3.6984 | 14.38 |
| 9 | 5.8 | -4.6672 | 2.93 |
| 10 | 3.3 | -2.1501 | 4.31 |
| 11 | 8.8 | -9.9830 | 12.22 |
| 12 | 11.4 | -10.0017 | 3.44 |